The following is a DFT calculation (meta-GGA SCAN) of a crystal of Sc2InHg relaxed with PBEsol.

abc: 3.461 4.841 5.944
angles: 114.03 106.93 90.00
Fractional positions:
Sc  0.000  0.000  0.999
Hg  0.505  0.505  0.009
In  0.234  0.734  0.468
Sc  0.762  0.262  0.523

Results
Energy relative to the elements = -2.02 eV per formula unit
SG = Imm2



The following is a DFT calculation (meta-GGA SCAN) of a crystal of InHg2Se relaxed with PBEsol.

abc: 3.946 3.946 7.731
angles: 75.21 75.21 60.00
Fractional positions:
Hg  0.248  0.248  0.256
Se  0.757  0.757  0.728
Hg  0.001  0.001  0.998
In  0.494  0.494  0.519

Results
Energy relative to the elements, uncorrected = -0.218 eV/atom
SG = R3m